A plane-wave DFT calculation with PBE with a Hubbard U was carried out for Ba3SrEr2Mo2O12 after structural relaxation.

Unit cell a=5.987 b=5.990 c=10.359 alpha=72.35 beta=72.49 gamma=59.46
Last column: magnetic moment on the atom in μB.
Fractional positions:
Ba (0.380, 0.369, 0.875)  0.00
Ba (0.866, 0.881, 0.376)  0.00
Ba (0.123, 0.129, 0.626)  0.00
Sr (0.642, 0.618, 0.121)  0.00
Er (0.998, 0.996, 0.003)  0.01
Er (0.501, 0.502, 0.497)  0.01
Mo (0.750, 0.748, 0.752)  0.93
Mo (0.249, 0.252, 0.248)  0.94
O (0.884, 0.834, 0.881)  0.01
O (0.376, 0.356, 0.374)  0.02
O (0.616, 0.656, 0.625)  0.02
O (0.107, 0.165, 0.125)  0.01
O (0.664, 0.111, 0.628)  0.02
O (0.213, 0.583, 0.124)  -0.02
O (0.832, 0.390, 0.877)  0.02
O (0.307, 0.921, 0.376)  -0.02
O (0.104, 0.607, 0.643)  -0.02
O (0.625, 0.057, 0.144)  0.02
O (0.394, 0.895, 0.859)  -0.02
O (0.869, 0.431, 0.348)  0.01

Values from the calculation:
* total DFT energy (no corrections): -144.88 eV for the cell shown
* space-group type: No. 1
* total magnetic moment: 2.00 μB/cell